The following is a DFT calculation (PBE) of an optimized crystal structure of Ac2TbTiS6.

Properties
Space-group type ... No. 12
Magnetic moment ... 1.00 μB/cell
E_form (uncorrected) ... -1.8797 eV per atom

a = 7.1330 Å, b = 6.9742 Å, c = 7.1494 Å
α = 119.19°, β = 121.83°, γ = 90.00°
Site moments in Bohr magnetons follow the coordinates.
Atoms (fractional coordinates):
Ti (0.5000, 0.0000, 0.0000)  0.78
S (0.7994, 0.3046, 0.1231)  -0.01
S (0.2006, 0.6954, 0.8769)  -0.01
S (0.3727, 0.7639, 0.5278)  -0.01
Tb (0.0000, 0.5000, 0.0000)  0.04
S (0.7994, 0.8185, 0.1231)  -0.01
Ac (0.2304, 0.2558, 0.5117)  0.01
S (0.2006, 0.1815, 0.8769)  -0.01
Ac (0.7696, 0.7442, 0.4883)  0.01
S (0.6273, 0.2361, 0.4722)  -0.01

***

The following is a DFT calculation (PBE) of an optimized crystal structure of Ac2TbTl3S6.

Properties
Space-group type ... No. 12
Magnetic moment ... 0.00 μB/cell
E_form (uncorrected) ... -1.4874 eV per atom

a = 7.4602 Å, b = 7.4602 Å, c = 7.8594 Å
α = 99.08°, β = 99.08°, γ = 119.92°
Atoms (fractional coordinates):
S (0.6177, 0.9314, 0.7954)
S (0.3823, 0.0686, 0.2046)
Ac (0.3331, 0.6669, 0.0000)
Tb (0.0000, 0.0000, 0.0000)
Tl (0.8351, 0.1649, 0.5000)
S (0.7551, 0.7551, 0.2092)
S (0.0686, 0.3823, 0.2046)
S (0.9314, 0.6177, 0.7954)
Ac (0.6669, 0.3331, 0.0000)
Tl (0.5000, 0.5000, 0.5000)
Tl (0.1649, 0.8351, 0.5000)
S (0.2449, 0.2449, 0.7908)

***

The following is a DFT calculation (PBE) of an optimized crystal structure of Ac2TbTmS6.

Properties
Space-group type ... No. 14
Magnetic moment ... 0.00 μB/cell
E_form (uncorrected) ... -2.1587 eV per atom

a = 6.9358 Å, b = 7.5247 Å, c = 10.1162 Å
α = 90.00°, β = 90.17°, γ = 90.00°
Atoms (fractional coordinates):
S (0.1821, 0.1930, 0.0636)
S (0.8741, 0.5426, 0.2475)
S (0.1259, 0.4574, 0.7525)
Ac (0.0302, 0.9134, 0.2497)
S (0.3741, 0.9574, 0.7475)
S (0.8179, 0.8070, 0.9364)
S (0.3179, 0.6930, 0.4364)
Tb (0.0000, 0.5000, 0.5000)
S (0.6821, 0.3070, 0.5636)
S (0.3132, 0.6892, 0.0630)
Tm (0.5000, 0.0000, 0.5000)
S (0.6259, 0.0426, 0.2525)
S (0.6868, 0.3108, 0.9370)
Ac (0.9698, 0.0866, 0.7503)
Tb (0.5000, 0.0000, 0.0000)
S (0.1868, 0.1892, 0.4370)
Ac (0.4698, 0.4134, 0.2503)
Tm (0.0000, 0.5000, 0.0000)
Ac (0.5302, 0.5866, 0.7497)
S (0.8132, 0.8108, 0.5630)

***

The following is a DFT calculation (PBE) of an optimized crystal structure of AcTb4TmS8.

Properties
Space-group type ... No. 160
Magnetic moment ... 0.00 μB/cell
E_form (uncorrected) ... -1.9277 eV per atom

a = 8.1894 Å, b = 8.1894 Å, c = 8.1591 Å
α = 59.88°, β = 59.88°, γ = 60.00°
Atoms (fractional coordinates):
Tb (0.5065, 0.9976, 0.4983)
S (0.2351, 0.2351, 0.2946)
S (0.7607, 0.2281, 0.2506)
Tm (0.9984, 0.9984, 0.0049)
S (0.2322, 0.7962, 0.7395)
S (0.2281, 0.7607, 0.2506)
S (0.2322, 0.2322, 0.7395)
Tb (0.6239, 0.6239, 0.1283)
Tb (0.9976, 0.9976, 0.4983)
S (0.7962, 0.2322, 0.7395)
Tb (0.9976, 0.5065, 0.4983)
Ac (0.3754, 0.3754, 0.8738)
S (0.7607, 0.7607, 0.2506)
S (0.7555, 0.7555, 0.7335)